First-principles (PBE+U) data for a geometry-optimized Dy2TiCoO6 structure, as listed in Alexandria via LeMat-Bulk.

It has space group P2_1/c (No. 14), with a = 5.315 Å, b = 5.667 Å, c = 9.292 Å, α = 90.00°, β = 124.09° and γ = 90.00°. The distinct sites, in fractional coordinates, are Dy at (0.226, 0.072, 0.247), Ti at (0.500, 0.000, 0.000), Co at (0.000, 0.000, 0.500), O at (0.143, 0.186, 0.944), O at (0.255, 0.706, 0.935) and O at (0.377, 0.045, 0.758).

The value obtained for the energy is -162.9 eV/cell.